Entry 1:
! LiZnAg3 GGA-PBE optimized geometry; values from VASP
&SYSTEM
  ibrav = 0, nat = 10, ntyp = 3
/
ATOMIC_SPECIES
Ag 107.87 Ag.upf
Li 6.94 Li.upf
Zn 65.41 Zn.upf
ATOMIC_POSITIONS crystal
Ag 0.454 0.843 0.809
Ag 0.957 0.346 0.805
Ag 0.762 0.344 0.194
Ag 0.150 0.344 0.417
Ag 0.261 0.844 0.198
Ag 0.649 0.845 0.420
Li 0.554 0.345 0.610
Li 0.857 0.844 0.005
Zn 0.055 0.845 0.607
Zn 0.356 0.344 0.007
CELL_PARAMETERS angstrom
4.515 -0.140 1.395
1.041 4.594 0.310
0.062 -0.113 7.862
! Formation energy from the elements = -137.5 meV/atom
! Energy above the lowest structure with this stoichiometry = 0 meV per atom
! N(E_F) = 0.22 states/eV/atom

***

Entry 2:
! Na3Pr2HfTe6 GGA-PBE optimized geometry; values from VASP
&SYSTEM
  ibrav = 0, nat = 12, ntyp = 4
/
ATOMIC_SPECIES
Te 127.60 Te.upf
Na 22.99 Na.upf
Pr 140.91 Pr.upf
Hf 178.49 Hf.upf
ATOMIC_POSITIONS crystal
Te 0.078 0.387 0.235
Te 0.922 0.613 0.765
Te 0.229 0.229 0.765
Te 0.771 0.771 0.235
Te 0.387 0.078 0.235
Te 0.613 0.922 0.765
Na 0.500 0.500 0.500
Na 0.174 0.826 0.500
Na 0.826 0.174 0.500
Pr 0.334 0.666 0.000
Pr 0.666 0.334 0.000
Hf 0.000 0.000 0.000
CELL_PARAMETERS angstrom
7.651 -0.004 -0.006
-3.827 6.625 -0.006
-1.282 -2.219 7.621
! Total DFT energy (no corrections) = -0.1714 Ha/atom
! N(E_F) = 0.38 states/eV/atom